Record 1
Compound: K2HgTe2
Source: the Alexandria database
Functional: PBE
Structure: optimized geometry Values from VASP.

The structure in Quantum ESPRESSO input format:
```
&SYSTEM
  ibrav = 0, nat = 10, ntyp = 3
/
ATOMIC_SPECIES
K 39.10 K.upf
Hg 200.59 Hg.upf
Te 127.60 Te.upf
CELL_PARAMETERS angstrom
7.440 -3.493 0.000
7.440 3.493 0.000
-5.980 0.000 8.623
ATOMIC_POSITIONS angstrom
K -0.478 0.000 2.855
K -0.608 0.000 8.115
K 9.508 0.000 0.508
K 9.378 0.000 5.768
Hg 3.582 0.000 2.685
Hg 5.318 0.000 5.937
Te 1.973 0.000 0.489
Te 2.519 0.000 5.408
Te 6.380 0.000 3.215
Te 6.926 0.000 8.133
```

Output
Formation energy (no corrections) (meV/atom): -710
Total magnetic moment (μB per formula unit): 0.0

Record 2
Compound: Ba2ScRh
Source: the Alexandria database
Functional: PBE
Structure: optimized geometry Values from VASP.

The structure in Quantum ESPRESSO input format:
```
&SYSTEM
  ibrav = 0, nat = 4, ntyp = 3
/
ATOMIC_SPECIES
Ba 137.33 Ba.upf
Sc 44.96 Sc.upf
Rh 102.91 Rh.upf
CELL_PARAMETERS angstrom
-1.916 3.060 6.002
1.916 -3.060 6.002
1.916 3.060 -6.002
ATOMIC_POSITIONS angstrom
Ba 0.000 0.000 0.000
Ba 0.000 3.060 2.215
Sc 1.916 0.000 3.920
Rh 0.000 0.000 5.507
```

Output
E above lowest polymorph (kJ per mole of atoms): 8.3
DOS(E_F) (states/eV/atom): 1.1283
Total magnetic moment (μB per formula unit): 0.0
Energy relative to the elements (eV/atom): -0.12

Record 3
Compound: KCaNb
Source: the Alexandria database
Functional: PBE
Structure: optimized geometry Values from VASP.

The structure in Quantum ESPRESSO input format:
```
&SYSTEM
  ibrav = 0, nat = 6, ntyp = 3
/
ATOMIC_SPECIES
K 39.10 K.upf
Ca 40.08 Ca.upf
Nb 92.91 Nb.upf
CELL_PARAMETERS angstrom
5.163 0.000 0.000
0.000 5.163 0.000
0.000 0.000 9.502
ATOMIC_POSITIONS angstrom
K 1.291 1.291 1.351
K 3.872 3.872 8.152
Ca 1.291 3.872 4.751
Ca 3.872 1.291 4.751
Nb 1.291 1.291 6.873
Nb 3.872 3.872 2.629
```

Output
E above lowest polymorph (kJ per mole of atoms): 95.7
DOS(E_F) (states/eV/atom): 1.1604
Total magnetic moment (μB per formula unit): 4.8
Energy relative to the elements (eV/atom): 1.27

Record 4
Compound: Hg2Pb2O5
Source: the Alexandria database
Functional: PBE
Structure: optimized geometry Values from VASP.

The structure in Quantum ESPRESSO input format:
```
&SYSTEM
  ibrav = 0, nat = 18, ntyp = 3
/
ATOMIC_SPECIES
Hg 200.59 Hg.upf
Pb 207.20 Pb.upf
O 16.00 O.upf
CELL_PARAMETERS angstrom
5.738 -3.559 0.000
5.738 3.559 0.000
0.000 0.000 6.666
ATOMIC_POSITIONS angstrom
Hg 2.423 0.000 0.000
Hg 3.316 0.000 3.333
Hg 8.161 0.000 3.333
Hg 9.054 0.000 0.000
Pb 5.738 2.205 4.400
Pb 5.738 1.354 1.067
Pb 5.738 -1.354 5.598
Pb 5.738 -2.205 2.266
O 0.000 0.000 0.000
O 4.216 2.361 2.531
O 4.216 1.198 5.864
O 7.260 2.361 2.531
O 7.260 1.198 5.864
O 5.738 0.000 3.333
O 4.216 -1.198 0.801
O 4.216 -2.361 4.134
O 7.260 -1.198 0.801
O 7.260 -2.361 4.134
```

Output
Formation energy (no corrections) (meV/atom): -427
DOS(E_F) (states/eV/atom): 0.2763
Total magnetic moment (μB per formula unit): 0.0

Record 5
Compound: CeDyIn
Source: the Alexandria database
Functional: PBE
Structure: optimized geometry Values from VASP.

The structure in Quantum ESPRESSO input format:
```
&SYSTEM
  ibrav = 0, nat = 3, ntyp = 3
/
ATOMIC_SPECIES
Ce 140.12 Ce.upf
Dy 162.50 Dy.upf
In 114.82 In.upf
CELL_PARAMETERS angstrom
-1.734 1.734 7.196
1.734 -1.734 7.196
1.734 1.734 -7.196
ATOMIC_POSITIONS angstrom
Ce 0.000 0.000 0.000
Dy 0.000 0.000 4.482
In 0.000 0.000 9.498
```

Output
E above lowest polymorph (kJ per mole of atoms): 7.5
DOS(E_F) (states/eV/atom): 2.1267
Total magnetic moment (μB per formula unit): 1.1
Energy relative to the elements (eV/atom): -0.21

Record 6
Compound: Pr2Zn
Source: the Alexandria database
Functional: PBE
Structure: optimized geometry Values from VASP.

The structure in Quantum ESPRESSO input format:
```
&SYSTEM
  ibrav = 0, nat = 6, ntyp = 2
/
ATOMIC_SPECIES
Pr 140.91 Pr.upf
Zn 65.41 Zn.upf
CELL_PARAMETERS angstrom
3.723 0.000 0.000
0.000 3.723 0.000
0.000 0.000 12.634
ATOMIC_POSITIONS angstrom
Pr 0.000 0.000 0.000
Pr 0.000 0.000 3.659
Pr 0.000 0.000 8.975
Pr 1.862 1.862 6.317
Zn 1.862 1.862 1.845
Zn 1.862 1.862 10.788
```

Output
DOS(E_F) (states/eV/atom): 0.9725
Total magnetic moment (μB per formula unit): 0.0
Energy relative to the elements (eV/atom): -0.20

Record 7
Compound: AcGa2Pd2Pt
Source: the Alexandria database
Functional: PBE
Structure: optimized geometry Values from VASP.

The structure in Quantum ESPRESSO input format:
```
&SYSTEM
  ibrav = 0, nat = 6, ntyp = 4
/
ATOMIC_SPECIES
Ac 227.00 Ac.upf
Ga 69.72 Ga.upf
Pd 106.42 Pd.upf
Pt 195.08 Pt.upf
CELL_PARAMETERS angstrom
-2.116 2.116 7.643
2.116 -2.116 7.643
2.116 2.116 -7.643
ATOMIC_POSITIONS angstrom
Ac 0.000 0.000 0.000
Ga 0.000 0.000 5.182
Ga 0.000 0.000 10.104
Pd 2.116 0.000 3.821
Pd 0.000 2.116 3.821
Pt 0.000 0.000 7.643
```

Output
DOS(E_F) (states/eV/atom): 0.4532
Total magnetic moment (μB per formula unit): 0.0
Energy relative to the elements (eV/atom): -0.73

Record 8
Compound: MgNbPb3
Source: the Alexandria database
Functional: PBE
Structure: optimized geometry Values from VASP.

The structure in Quantum ESPRESSO input format:
```
&SYSTEM
  ibrav = 0, nat = 5, ntyp = 3
/
ATOMIC_SPECIES
Mg 24.30 Mg.upf
Nb 92.91 Nb.upf
Pb 207.20 Pb.upf
CELL_PARAMETERS angstrom
5.402 0.000 0.000
0.000 5.402 0.000
0.000 0.000 5.402
ATOMIC_POSITIONS angstrom
Mg 0.000 0.000 0.000
Nb 2.701 2.701 2.701
Pb 0.000 0.000 2.701
Pb 0.000 2.701 0.000
Pb 2.701 0.000 0.000
```

Output
E above lowest polymorph (kJ per mole of atoms): 57.8
DOS(E_F) (states/eV/atom): 1.2386
Total magnetic moment (μB per formula unit): 3.6
Energy relative to the elements (eV/atom): 1.06

Record 9
Compound: Pr8IrRh3Br4
Source: the Alexandria database
Functional: PBE
Structure: optimized geometry Values from VASP.

The structure in Quantum ESPRESSO input format:
```
&SYSTEM
  ibrav = 0, nat = 16, ntyp = 4
/
ATOMIC_SPECIES
Pr 140.91 Pr.upf
Ir 192.22 Ir.upf
Rh 102.91 Rh.upf
Br 79.90 Br.upf
CELL_PARAMETERS angstrom
7.211 -4.164 0.000
7.211 4.164 0.000
-4.815 0.000 7.889
ATOMIC_POSITIONS angstrom
Pr -0.011 0.000 5.491
Pr 3.606 2.088 5.491
Pr 6.000 2.088 2.398
Pr 2.399 0.000 2.399
Pr 7.207 0.000 5.490
Pr 3.606 -2.088 5.491
Pr 6.000 -2.088 2.398
Pr 9.617 0.000 2.398
Ir -2.408 0.000 3.945
Rh 1.198 2.082 3.945
Rh 1.198 -2.082 3.945
Rh 4.803 0.000 3.945
Br 0.000 0.000 0.000
Br 3.605 2.082 0.000
Br 3.605 -2.082 0.000
Br 7.211 0.000 0.000
```

Output
Formation energy (no corrections) (meV/atom): -1073
DOS(E_F) (states/eV/atom): 0.2772
Total magnetic moment (μB per formula unit): 0.0

Record 10
Compound: BaTlBi2H
Source: the Alexandria database
Functional: PBE
Structure: optimized geometry Values from VASP.

The structure in Quantum ESPRESSO input format:
```
&SYSTEM
  ibrav = 0, nat = 5, ntyp = 4
/
ATOMIC_SPECIES
Ba 137.33 Ba.upf
Tl 204.38 Tl.upf
Bi 208.98 Bi.upf
H 1.01 H.upf
CELL_PARAMETERS angstrom
5.137 0.000 0.000
0.000 5.137 0.000
0.000 0.000 5.371
ATOMIC_POSITIONS angstrom
Ba 0.000 0.000 0.000
Tl 2.568 2.568 0.000
Bi 0.000 2.568 2.685
Bi 2.568 0.000 2.685
H 0.000 0.000 2.685
```

Output
E above lowest polymorph (kJ per mole of atoms): 0.0
DOS(E_F) (states/eV/atom): 0.2984
Total magnetic moment (μB per formula unit): 0.0

Record 11
Compound: ThZr2Ag
Source: the Alexandria database
Functional: PBE
Structure: optimized geometry Values from VASP.

The structure in Quantum ESPRESSO input format:
```
&SYSTEM
  ibrav = 0, nat = 4, ntyp = 3
/
ATOMIC_SPECIES
Th 232.04 Th.upf
Zr 91.22 Zr.upf
Ag 107.87 Ag.upf
CELL_PARAMETERS angstrom
1.589 0.917 11.171
-1.589 0.917 11.171
0.000 -1.835 11.171
ATOMIC_POSITIONS angstrom
Th 0.000 0.000 0.000
Zr 0.000 0.000 3.148
Zr 0.000 0.000 30.365
Ag 0.000 0.000 16.757
```

Output
E above lowest polymorph (kJ per mole of atoms): 31.1
DOS(E_F) (states/eV/atom): 1.7657
Total magnetic moment (μB per formula unit): 0.0
Energy relative to the elements (eV/atom): 0.35

Record 12
Compound: YFePCl2
Source: the Alexandria database
Functional: PBE
Structure: optimized geometry Values from VASP.

The structure in Quantum ESPRESSO input format:
```
&SYSTEM
  ibrav = 0, nat = 5, ntyp = 4
/
ATOMIC_SPECIES
Y 88.91 Y.upf
Fe 55.84 Fe.upf
P 30.97 P.upf
Cl 35.45 Cl.upf
CELL_PARAMETERS angstrom
4.479 0.000 0.000
0.000 4.479 0.000
0.000 0.000 4.898
ATOMIC_POSITIONS angstrom
Y 0.000 0.000 0.000
Fe 2.240 2.240 2.449
P 2.240 2.240 0.000
Cl 0.000 2.240 2.449
Cl 2.240 0.000 2.449
```

Output
E above lowest polymorph (kJ per mole of atoms): 0.0
Formation energy (no corrections) (meV/atom): -521
DOS(E_F) (states/eV/atom): 0.8963
Total magnetic moment (μB per formula unit): 2.1

Record 13
Compound: LiEr2Ga5Tc2
Source: the Alexandria database
Functional: PBE
Structure: optimized geometry Values from VASP.

The structure in Quantum ESPRESSO input format:
```
&SYSTEM
  ibrav = 0, nat = 20, ntyp = 4
/
ATOMIC_SPECIES
Li 6.94 Li.upf
Er 167.26 Er.upf
Ga 69.72 Ga.upf
Tc 98.00 Tc.upf
CELL_PARAMETERS angstrom
10.150 0.000 0.000
0.000 10.150 0.000
0.000 0.000 3.500
ATOMIC_POSITIONS angstrom
Li 0.000 0.000 0.000
Li 5.075 5.075 0.000
Er 1.851 3.224 0.000
Er 3.224 8.299 0.000
Er 6.926 1.851 0.000
Er 8.299 6.926 0.000
Ga 0.000 5.075 1.750
Ga 0.545 8.192 1.750
Ga 1.958 0.545 1.750
Ga 3.117 5.620 1.750
Ga 4.530 3.117 1.750
Ga 5.075 0.000 1.750
Ga 5.620 7.033 1.750
Ga 7.033 4.530 1.750
Ga 8.192 9.605 1.750
Ga 9.605 1.958 1.750
Tc 1.281 6.356 0.000
Tc 3.794 1.281 0.000
Tc 6.356 8.869 0.000
Tc 8.869 3.794 0.000
```

Output
DOS(E_F) (states/eV/atom): 0.5255
Total magnetic moment (μB per formula unit): 0.0
Energy relative to the elements (eV/atom): -0.29

Record 14
Compound: LiUHgBr6
Source: the Alexandria database
Functional: PBE
Structure: optimized geometry Values from VASP.

The structure in Quantum ESPRESSO input format:
```
&SYSTEM
  ibrav = 0, nat = 9, ntyp = 4
/
ATOMIC_SPECIES
Li 6.94 Li.upf
U 238.03 U.upf
Hg 200.59 Hg.upf
Br 79.90 Br.upf
CELL_PARAMETERS angstrom
6.967 0.000 0.000
-3.483 6.034 0.000
0.000 0.000 9.218
ATOMIC_POSITIONS angstrom
Li 0.000 0.000 0.000
U 3.483 2.011 0.000
Hg 0.000 4.022 4.609
Br 2.302 0.147 1.563
Br 1.278 1.920 7.655
Br 4.665 0.147 7.655
Br 2.460 3.967 1.563
Br 5.689 1.920 1.563
Br 4.507 3.967 7.655
```

Output
Formation energy (no corrections) (meV/atom): -1156
Total magnetic moment (μB per formula unit): 1.0